{"formula": "SrCoNi2", "functional": "PBE-GGA", "state": "relaxed", "dft_energy_ev_per_cell": -20.2, "delta_e_f_mev_per_atom": 39, "dos_at_fermi_per_ev_atom": 1.24, "lattice_angstrom": [[4.0892, -0.0019, 0.0319], [2.0465, 3.5402, 0.0319], [2.0061, 1.1569, 5.2434]], "species": ["Co", "Sr", "Ni", "Ni"], "fractional_positions": [[0.3167, 0.3167, 0.0492], [0.5013, 0.5013, 0.4980], [0.6854, 0.6854, 0.9432], [0.9966, 0.9966, 0.0095]]}



{"formula": "SrCo2Ni2", "functional": "PBE-GGA", "state": "relaxed", "dft_energy_ev_per_cell": -26.2, "delta_e_f_mev_per_atom": 249, "dos_at_fermi_per_ev_atom": 1.77, "polymorph_energy_mev_per_atom": 13, "lattice_angstrom": [[4.0909, 0.0000, 0.0000], [0.0000, 4.0909, 0.0000], [2.0455, 2.0455, 4.8111]], "species": ["Ni", "Ni", "Co", "Co", "Sr"], "fractional_positions": [[0.7500, 0.2500, 0.5000], [0.2500, 0.7500, 0.5000], [0.6188, 0.6188, 0.7624], [0.3812, 0.3812, 0.2376], [0.0000, 0.0000, 0.0000]]}



no.,calculated volume (Å³ per atom)
1,18.9
2,16.1